(1)
Density functional theory data (PBE) for a relaxed KErZn2F8 crystal.

Cell and atoms, written as POSCAR:
```
KErZn2F8
1.0
2.628 1.517 8.326
-2.628 1.517 8.326
0.000 -3.034 8.326
K Er Zn F
1 1 2 8
Direct
0.000 0.000 0.000 K
0.500 0.500 0.500 Er
0.256 0.256 0.256 Zn
0.744 0.744 0.744 Zn
0.121 0.452 0.762 F
0.238 0.548 0.879 F
0.330 0.330 0.330 F
0.452 0.762 0.121 F
0.548 0.879 0.238 F
0.670 0.670 0.670 F
0.762 0.121 0.452 F
0.879 0.238 0.548 F
```

Calculated values
The total energy is -0.1780 hartree per atom. As for the density of states at the Fermi level: 0.00 states/eV per cell.


(2)
Density functional theory data (PBE) for a relaxed KErZnF6 crystal.

Cell and atoms, written as POSCAR:
```
KErZnF6
1.0
-3.795 4.050 5.582
3.795 -4.050 5.582
3.795 4.050 -5.582
K Er Zn F
2 2 2 12
Direct
0.277 0.027 0.250 K
0.723 0.973 0.750 K
0.000 0.500 0.500 Er
0.500 0.500 0.000 Er
0.000 0.000 0.500 Zn
0.000 0.500 0.000 Zn
0.044 0.400 0.214 F
0.044 0.831 0.644 F
0.047 0.797 0.250 F
0.314 0.169 0.714 F
0.314 0.600 0.144 F
0.324 0.574 0.750 F
0.676 0.426 0.250 F
0.686 0.400 0.856 F
0.686 0.831 0.286 F
0.953 0.203 0.750 F
0.956 0.169 0.356 F
0.956 0.600 0.786 F
```

Calculated values
The total energy is -0.1923 hartree per atom. As for the density of states at the Fermi level: 0.00 states/eV per cell.


(3)
Density functional theory data (PBE) for a relaxed K2ErZnF6 crystal.

Cell and atoms, written as POSCAR:
```
K2ErZnF6
1.0
6.353 0.000 0.000
0.000 8.969 0.000
0.000 0.000 6.386
K Er Zn F
4 2 2 12
Direct
0.250 0.002 0.230 K
0.250 0.498 0.230 K
0.750 0.502 0.770 K
0.750 0.998 0.770 K
0.250 0.750 0.750 Er
0.750 0.250 0.250 Er
0.250 0.250 0.746 Zn
0.750 0.750 0.254 Zn
0.005 0.750 0.986 F
0.014 0.750 0.509 F
0.250 0.510 0.776 F
0.250 0.990 0.776 F
0.486 0.750 0.509 F
0.495 0.750 0.986 F
0.505 0.250 0.014 F
0.514 0.250 0.491 F
0.750 0.010 0.224 F
0.750 0.490 0.224 F
0.986 0.250 0.491 F
0.995 0.250 0.014 F
```

Calculated values
The total energy is -0.1786 hartree per atom. As for the density of states at the Fermi level: 5.14 states/eV per cell.


(4)
Density functional theory data (PBE) for a relaxed La3ErF crystal.

Cell and atoms, written as POSCAR:
```
La3ErF
1.0
5.253 0.000 0.000
0.000 5.253 0.000
0.000 0.000 5.253
La Er F
3 1 1
Direct
0.000 0.000 0.500 La
0.000 0.500 0.000 La
0.500 0.000 0.000 La
0.500 0.500 0.500 Er
0.000 0.000 0.000 F
```

Calculated values
The total energy is -0.1932 hartree per atom. As for the density of states at the Fermi level: 5.92 states/eV per cell.


(5)
Density functional theory data (PBE) for a relaxed La2ErF8 crystal.

Cell and atoms, written as POSCAR:
```
La2ErF8
1.0
7.557 -2.035 0.000
7.557 2.035 0.000
-1.777 0.000 5.018
La Er F
2 1 8
Direct
0.178 0.178 0.206 La
0.822 0.822 0.794 La
0.500 0.500 0.500 Er
0.024 0.024 0.302 F
0.221 0.221 0.790 F
0.357 0.357 0.548 F
0.404 0.404 0.086 F
0.596 0.596 0.914 F
0.643 0.643 0.452 F
0.779 0.779 0.210 F
0.976 0.976 0.698 F
```

Calculated values
The total energy is -0.2421 hartree per atom. As for the density of states at the Fermi level: 4.14 states/eV per cell.


(6)
Density functional theory data (PBE) for a relaxed La2ErF crystal.

Cell and atoms, written as POSCAR:
```
La2ErF
1.0
1.939 1.120 8.749
-1.939 1.120 8.749
0.000 -2.239 8.749
La Er F
2 1 1
Direct
0.223 0.223 0.223 La
0.777 0.777 0.777 La
0.000 0.000 0.000 Er
0.500 0.500 0.500 F
```

Calculated values
The total energy is -0.1916 hartree per atom. As for the density of states at the Fermi level: 5.53 states/eV per cell.


(7)
Density functional theory data (PBE) for a relaxed LaErF6 crystal.

Cell and atoms, written as POSCAR:
```
LaErF6
1.0
5.470 0.000 0.000
0.000 5.470 0.000
0.000 0.000 8.025
La Er F
2 2 12
Direct
0.000 0.000 0.000 La
0.000 0.000 0.500 La
0.500 0.500 0.250 Er
0.500 0.500 0.750 Er
0.206 0.250 0.185 F
0.206 0.250 0.815 F
0.250 0.794 0.315 F
0.250 0.794 0.685 F
0.316 0.341 0.500 F
0.341 0.684 0.000 F
0.659 0.316 0.000 F
0.684 0.659 0.500 F
0.750 0.206 0.315 F
0.750 0.206 0.685 F
0.794 0.750 0.185 F
0.794 0.750 0.815 F
```

Calculated values
The total energy is -0.2465 hartree per atom. As for the density of states at the Fermi level: 0.00 states/eV per cell.


(8)
Density functional theory data (PBE) for a relaxed La2ErF11 crystal.

Cell and atoms, written as POSCAR:
```
La2ErF11
1.0
-4.417 5.279 5.647
4.417 -5.279 5.647
4.417 5.279 -5.647
La Er F
4 2 22
Direct
0.192 0.170 0.363 La
0.308 0.670 0.978 La
0.692 0.330 0.022 La
0.808 0.830 0.637 La
0.250 0.750 0.500 Er
0.750 0.250 0.500 Er
0.000 0.000 0.000 F
0.017 0.447 0.764 F
0.066 0.826 0.622 F
0.183 0.947 0.430 F
0.184 0.897 0.080 F
0.204 0.444 0.378 F
0.296 0.674 0.239 F
0.316 0.397 0.713 F
0.317 0.746 0.764 F
0.434 0.056 0.761 F
0.483 0.246 0.430 F
0.500 0.500 0.000 F
0.517 0.754 0.570 F
0.566 0.944 0.239 F
0.683 0.254 0.236 F
0.684 0.603 0.287 F
0.704 0.326 0.761 F
0.796 0.556 0.622 F
0.816 0.103 0.920 F
0.817 0.053 0.570 F
0.934 0.174 0.378 F
0.983 0.553 0.236 F
```

Calculated values
The total energy is -0.2189 hartree per atom. As for the density of states at the Fermi level: 22.60 states/eV per cell.


(9)
Density functional theory data (PBE) for a relaxed LiEr2F7 crystal.

Cell and atoms, written as POSCAR:
```
LiEr2F7
1.0
1.952 1.127 10.199
-1.952 1.127 10.199
0.000 -2.254 10.199
Li Er F
1 2 7
Direct
0.000 0.000 0.000 Li
0.429 0.429 0.429 Er
0.571 0.571 0.571 Er
0.077 0.077 0.077 F
0.223 0.223 0.223 F
0.360 0.360 0.360 F
0.500 0.500 0.500 F
0.640 0.640 0.640 F
0.777 0.777 0.777 F
0.923 0.923 0.923 F
```

Calculated values
The total energy is -0.2297 hartree per atom. As for the density of states at the Fermi level: 0.00 states/eV per cell.


(10)
Density functional theory data (PBE) for a relaxed LiEr2F8 crystal.

Cell and atoms, written as POSCAR:
```
LiEr2F8
1.0
6.919 -1.849 0.000
6.919 1.849 0.000
-1.989 0.000 5.024
Li Er F
1 2 8
Direct
0.000 0.000 0.000 Li
0.330 0.330 0.334 Er
0.670 0.670 0.666 Er
0.095 0.095 0.773 F
0.178 0.178 0.406 F
0.283 0.283 0.892 F
0.466 0.466 0.714 F
0.534 0.534 0.286 F
0.717 0.717 0.108 F
0.822 0.822 0.594 F
0.905 0.905 0.227 F
```

Calculated values
The total energy is -0.2134 hartree per atom. As for the density of states at the Fermi level: 6.89 states/eV per cell. As for the excess energy over the best structure of this formula in the dataset: 67 meV/atom.


(11)
Density functional theory data (PBE) for a relaxed LiEr2F8 crystal.

Cell and atoms, written as POSCAR:
```
LiEr2F8
1.0
4.700 -3.453 0.000
4.700 3.453 0.000
-1.659 0.000 4.206
Li Er F
1 2 8
Direct
0.000 0.000 0.000 Li
0.322 0.322 0.605 Er
0.678 0.678 0.395 Er
0.037 0.646 0.762 F
0.099 0.099 0.695 F
0.354 0.963 0.238 F
0.419 0.419 0.200 F
0.581 0.581 0.800 F
0.646 0.037 0.762 F
0.901 0.901 0.305 F
0.963 0.354 0.238 F
```

Calculated values
The total energy is -0.2159 hartree per atom. As for the excess energy over the best structure of this formula in the dataset: 0 meV/atom.